VASP calculation (PBE-GGA) on a relaxed structure of Li3PSe4.

The value obtained for the density of states at the Fermi level is 0.00 states/eV/cell. The formation energy from raw total energies is -0.77 eV/atom.

The space group is Pmn2_1 (No. 31) and the conventional cell measures 8.227, 6.976 and 6.612 Å, with angles of 90.00, 90.00 and 90.00 degrees. The distinct sites, in fractional coordinates, are Li at (0.000, 0.143, 0.000), Li at (0.242, 0.312, 0.485), P at (0.000, 0.815, 0.489), Se at (0.000, 0.116, 0.604), Se at (0.000, 0.804, 0.150) and Se at (0.223, 0.665, 0.599).